The following is a DFT calculation (GGA-PBE) of crystalline ThNbHg at its relaxed geometry.

Distance to the lowest polymorph of the same formula: 0.0000 eV per atom
Calculated total energy: -5.27 eV/atom
Mass density: 10.31 g/cm3
Size of the total moment: 1.17 μB per formula unit
Space-group type: F-43m, No. 216
Formation energy from the elements: 665 meV per atom

Lattice parameters (Å, degrees): 4.928 4.928 4.928 60.00 60.00 60.00
Positions (direct):
1 Th 0.000 0.000 0.000
2 Nb 0.500 0.500 0.500
3 Hg 0.750 0.750 0.750